1.
Entry from the Alexandria database: a relaxed Cs2TiIBr5 crystal (GGA-PBE).

The structure in POSCAR format:
```
Cs2TiIBr5
1.0
7.900 -0.084 -0.122
-3.825 6.913 0.122
-3.825 -2.348 6.503
Cs Ti I Br
2 1 1 5
Direct
0.500 0.252 0.752 Cs
0.500 0.752 0.252 Cs
0.000 0.006 0.006 Ti
0.000 0.752 0.752 I
0.450 0.226 0.226 Br
0.550 0.776 0.776 Br
0.000 0.776 0.226 Br
0.000 0.226 0.776 Br
0.000 0.233 0.233 Br
```

Calculated volume = 351 Å³/cell
E_tot = -32.51 eV per cell
Formation energy without anion corrections = -1444 meV per atom
Space-group type = No. 107


2.
Entry from the Alexandria database: a relaxed NaTc2TeSe crystal (GGA-PBE).

The structure in POSCAR format:
```
NaTc2TeSe
1.0
4.686 0.000 0.000
0.000 5.975 0.000
0.000 0.000 4.686
Na Te Tc Se
1 1 2 1
Direct
0.500 0.500 0.500 Na
0.000 0.500 0.000 Te
0.000 0.000 0.500 Tc
0.500 0.000 0.000 Tc
0.000 0.000 0.000 Se
```

Calculated volume = 131 Å³/cell
E_tot = -24.05 eV per cell
Formation energy without anion corrections = 925 meV per atom
DOS(E_F) = 4.728 states/eV/cell
Space-group type = No. 123


3.
Entry from the Alexandria database: a relaxed SrTlOs crystal (GGA-PBE).

The structure in POSCAR format:
```
SrTlOs
1.0
-1.835 2.830 3.786
-4.486 2.309 -0.505
-3.998 -1.617 2.667
Os Sr Tl
1 1 1
Direct
0.500 0.500 0.500 Os
0.750 0.750 0.750 Sr
0.000 0.000 0.000 Tl
```

Calculated volume = 92 Å³/cell
Energy of formation from the pure elements = 140.60 kJ per mole of atoms
E_tot = -10.91 eV per cell
DOS(E_F) = 7.737 states/eV/cell
Space-group type = No. 216